No. 1
RbLiMoI6, optimized geometry, DFT PBE-GGA; crystal system = trigonal; mass density = 3.947 g/cm3; ΔE_f (raw) = -14.93 kcal/mol of atoms
1.0
7.483 0.000 0.000
-3.741 6.480 0.000
0.000 0.000 16.478
Rb Li Mo I
2 2 2 12
direct
0.000 0.000 0.000
0.000 0.000 0.500
0.333 0.667 0.250
0.667 0.333 0.750
0.333 0.667 0.750
0.667 0.333 0.250
0.018 0.377 0.653
0.018 0.641 0.847
0.359 0.377 0.847
0.359 0.982 0.653
0.377 0.018 0.153
0.377 0.359 0.347
0.623 0.641 0.653
0.623 0.982 0.847
0.641 0.018 0.347
0.641 0.623 0.153
0.982 0.359 0.153
0.982 0.623 0.347


No. 2
LiSb2MoI, optimized geometry, DFT PBE-GGA; crystal system = tetragonal; mass density = 5.975 g/cm3; ΔE_f (raw) = 20.83 kcal/mol of atoms
1.0
4.920 0.000 0.000
0.000 4.920 0.000
0.000 0.000 5.435
Li Sb Mo I
1 2 1 1
direct
0.000 0.000 0.000
0.000 0.500 0.000
0.500 0.000 0.000
0.500 0.500 0.500
0.000 0.000 0.500


No. 3
LiSb2MoI, optimized geometry, DFT PBE-GGA; crystal system = tetragonal; mass density = 4.733 g/cm3; ΔE_f (raw) = 6.25 kcal/mol of atoms
1.0
5.161 0.000 0.000
0.000 5.161 0.000
0.000 0.000 6.235
Li Sb Mo I
1 2 1 1
direct
0.000 0.000 0.000
0.000 0.500 0.500
0.500 0.000 0.500
0.500 0.500 0.500
0.500 0.500 0.000


No. 4
Li2ScMoI, optimized geometry, DFT PBE-GGA; crystal system = tetragonal; mass density = 3.009 g/cm3; ΔE_f (raw) = 29.01 kcal/mol of atoms
1.0
5.400 0.000 0.000
0.000 5.400 0.000
0.000 0.000 5.332
Li Sc Mo I
2 1 1 1
direct
0.000 0.500 0.000
0.500 0.000 0.000
0.000 0.000 0.000
0.500 0.500 0.500
0.000 0.000 0.500


No. 5
LiTlMoI6, optimized geometry, DFT PBE-GGA; crystal system = trigonal; mass density = 4.921 g/cm3; ΔE_f (raw) = -10.62 kcal/mol of atoms
1.0
7.501 0.000 0.000
-3.751 6.496 0.000
0.000 0.000 7.400
Li Tl Mo I
1 1 1 6
direct
0.000 0.000 0.000
0.667 0.333 0.500
0.333 0.667 0.000
0.047 0.351 0.218
0.047 0.696 0.782
0.304 0.351 0.782
0.304 0.953 0.218
0.649 0.696 0.218
0.649 0.953 0.782


No. 6
Li6I2N, optimized geometry, DFT PBE-GGA; crystal system = tetragonal; mass density = 2.515 g/cm3; ΔE_f (raw) = -13.96 kcal/mol of atoms
1.0
5.752 0.000 0.000
0.000 5.752 0.000
0.000 0.000 12.353
Li I N
12 4 2
direct
0.167 0.167 0.112
0.167 0.167 0.888
0.242 0.758 0.000
0.258 0.258 0.500
0.333 0.667 0.388
0.333 0.667 0.612
0.667 0.333 0.388
0.667 0.333 0.612
0.742 0.742 0.500
0.758 0.242 0.000
0.833 0.833 0.112
0.833 0.833 0.888
0.000 0.000 0.327
0.000 0.000 0.673
0.500 0.500 0.173
0.500 0.500 0.827
0.000 0.000 0.000
0.500 0.500 0.500


No. 7
Li6I2N, optimized geometry, DFT PBE-GGA; crystal system = monoclinic; mass density = 2.844 g/cm3; ΔE_f (raw) = -14.18 kcal/mol of atoms
1.0
6.349 0.000 0.000
0.000 6.346 0.000
-6.349 0.000 8.970
Li I N
12 4 2
direct
0.208 0.001 0.217
0.208 0.499 0.717
0.220 0.217 0.004
0.220 0.283 0.504
0.222 0.716 0.505
0.222 0.784 0.005
0.778 0.216 0.995
0.778 0.284 0.495
0.780 0.717 0.496
0.780 0.783 0.996
0.792 0.501 0.283
0.792 0.999 0.783
0.250 0.000 0.750
0.250 0.500 0.250
0.750 0.000 0.250
0.750 0.500 0.750
0.000 0.000 0.000
0.000 0.500 0.500


No. 8
LiIN2, optimized geometry, DFT PBE-GGA; crystal system = triclinic; mass density = 2.062 g/cm3; ΔE_f (raw) = -12.42 kcal/mol of atoms
1.0
4.021 0.000 0.000
0.058 7.551 0.000
2.001 -0.006 8.586
Li I N
2 2 4
direct
0.000 0.000 0.000
0.000 0.500 0.000
0.454 0.250 0.092
0.546 0.750 0.908
0.190 0.801 0.413
0.394 0.700 0.415
0.606 0.300 0.585
0.810 0.199 0.587


No. 9
LiIN2, optimized geometry, DFT PBE-GGA; crystal system = tetragonal; mass density = 4.390 g/cm3; ΔE_f (raw) = 26.51 kcal/mol of atoms
1.0
4.754 0.000 0.000
0.000 4.754 0.000
0.000 0.000 10.838
Li I N
4 4 8
direct
0.000 0.000 0.000
0.000 0.500 0.250
0.500 0.000 0.750
0.500 0.500 0.500
0.000 0.000 0.500
0.000 0.500 0.750
0.500 0.000 0.250
0.500 0.500 0.000
0.237 0.250 0.625
0.250 0.737 0.875
0.250 0.763 0.375
0.263 0.250 0.125
0.737 0.750 0.125
0.750 0.237 0.375
0.750 0.263 0.875
0.763 0.750 0.625


No. 10
Li4I3N2, optimized geometry, DFT PBE-GGA; crystal system = monoclinic; mass density = 2.884 g/cm3; ΔE_f (raw) = -18.70 kcal/mol of atoms
1.0
6.089 -3.743 0.000
6.089 3.743 0.000
-2.495 0.000 11.029
Li I N
8 6 4
direct
0.101 0.752 0.933
0.248 0.899 0.567
0.264 0.383 0.554
0.383 0.264 0.054
0.617 0.736 0.946
0.736 0.617 0.446
0.752 0.101 0.433
0.899 0.248 0.067
0.057 0.689 0.387
0.311 0.943 0.113
0.351 0.649 0.750
0.649 0.351 0.250
0.689 0.057 0.887
0.943 0.311 0.613
0.082 0.501 0.997
0.499 0.918 0.503
0.501 0.082 0.497
0.918 0.499 0.003


No. 11
LiIN2, optimized geometry, DFT PBE-GGA; crystal system = cubic; mass density = 5.755 g/cm3; ΔE_f (raw) = 35.64 kcal/mol of atoms
1.0
5.717 0.000 0.000
0.000 5.717 0.000
0.000 0.000 5.717
Li I N
4 4 8
direct
0.000 0.000 0.000
0.000 0.500 0.500
0.500 0.000 0.500
0.500 0.500 0.000
0.000 0.000 0.500
0.000 0.500 0.000
0.500 0.000 0.000
0.500 0.500 0.500
0.250 0.250 0.250
0.250 0.250 0.750
0.250 0.750 0.250
0.250 0.750 0.750
0.750 0.250 0.250
0.750 0.250 0.750
0.750 0.750 0.250
0.750 0.750 0.750


No. 12
LiIN2, optimized geometry, DFT PBE-GGA; crystal system = trigonal; mass density = 4.550 g/cm3; ΔE_f (raw) = 28.48 kcal/mol of atoms
1.0
3.676 0.000 0.000
-1.838 3.183 0.000
0.000 0.000 15.146
Li I N
3 3 6
direct
0.000 0.000 0.000
0.333 0.667 0.667
0.667 0.333 0.333
0.000 0.000 0.500
0.333 0.667 0.167
0.667 0.333 0.833
0.000 0.000 0.350
0.000 0.000 0.650
0.333 0.667 0.017
0.333 0.667 0.316
0.667 0.333 0.684
0.667 0.333 0.983


> Look up the mass density of the eighth one.

2.062 g/cm3